1.
## YZrNO (GGA-PBE)

Data for a relaxed YZrNO crystal.

Output
Space-group type: No. 129

Cell lengths 3.981, 3.981, 7.445 Å; angles 90.00, 90.00, 90.00 degrees
Atoms (fractional coordinates):
Y (0.250, 0.750, 0.000)
Y (0.750, 0.250, 0.000)
Zr (0.250, 0.250, 0.376)
Zr (0.750, 0.750, 0.624)
N (0.250, 0.250, 0.819)
N (0.750, 0.750, 0.181)
O (0.250, 0.750, 0.500)
O (0.750, 0.250, 0.500)

2.
## Ho6Al43W4 (GGA-PBE)

Data for a relaxed Ho6Al43W4 crystal.

Output
Space-group type: No. 193

Cell lengths 11.000, 11.000, 17.714 Å; angles 90.00, 90.00, 120.00 degrees
Atoms (fractional coordinates):
Ho (0.000, 0.468, 0.096)
Ho (0.000, 0.468, 0.404)
Ho (0.000, 0.532, 0.596)
Ho (0.000, 0.532, 0.904)
Ho (0.468, 0.000, 0.096)
Ho (0.468, 0.000, 0.404)
Ho (0.468, 0.468, 0.596)
Ho (0.468, 0.468, 0.904)
Ho (0.532, 0.000, 0.596)
Ho (0.532, 0.000, 0.904)
Ho (0.532, 0.532, 0.096)
Ho (0.532, 0.532, 0.404)
Al (0.000, 0.149, 0.750)
Al (0.000, 0.161, 0.114)
Al (0.000, 0.161, 0.386)
Al (0.000, 0.255, 0.530)
Al (0.000, 0.255, 0.970)
Al (0.000, 0.745, 0.030)
Al (0.000, 0.745, 0.470)
Al (0.000, 0.839, 0.614)
Al (0.000, 0.839, 0.886)
Al (0.000, 0.851, 0.250)
Al (0.148, 0.552, 0.250)
Al (0.148, 0.595, 0.750)
Al (0.149, 0.000, 0.750)
Al (0.149, 0.149, 0.250)
Al (0.158, 0.395, 0.663)
Al (0.158, 0.395, 0.837)
Al (0.158, 0.763, 0.163)
Al (0.158, 0.763, 0.337)
Al (0.161, 0.000, 0.114)
Al (0.161, 0.000, 0.386)
Al (0.161, 0.161, 0.614)
Al (0.161, 0.161, 0.886)
Al (0.237, 0.395, 0.163)
Al (0.237, 0.395, 0.337)
Al (0.237, 0.842, 0.663)
Al (0.237, 0.842, 0.837)
Al (0.247, 0.494, 0.000)
Al (0.247, 0.494, 0.500)
Al (0.247, 0.753, 0.000)
Al (0.247, 0.753, 0.500)
Al (0.255, 0.000, 0.530)
Al (0.255, 0.000, 0.970)
Al (0.255, 0.255, 0.030)
Al (0.255, 0.255, 0.470)
Al (0.333, 0.667, 0.125)
Al (0.333, 0.667, 0.375)
Al (0.333, 0.667, 0.625)
Al (0.333, 0.667, 0.875)
Al (0.395, 0.158, 0.663)
Al (0.395, 0.158, 0.837)
Al (0.395, 0.237, 0.163)
Al (0.395, 0.237, 0.337)
Al (0.405, 0.552, 0.750)
Al (0.405, 0.852, 0.250)
Al (0.448, 0.595, 0.250)
Al (0.448, 0.852, 0.750)
Al (0.494, 0.247, 0.000)
Al (0.494, 0.247, 0.500)
Al (0.506, 0.753, 0.000)
Al (0.506, 0.753, 0.500)
Al (0.552, 0.148, 0.250)
Al (0.552, 0.405, 0.750)
Al (0.595, 0.148, 0.750)
Al (0.595, 0.448, 0.250)
Al (0.605, 0.763, 0.663)
Al (0.605, 0.763, 0.837)
Al (0.605, 0.842, 0.163)
Al (0.605, 0.842, 0.337)
Al (0.667, 0.333, 0.125)
Al (0.667, 0.333, 0.375)
Al (0.667, 0.333, 0.625)
Al (0.667, 0.333, 0.875)
Al (0.745, 0.000, 0.030)
Al (0.745, 0.000, 0.470)
Al (0.745, 0.745, 0.530)
Al (0.745, 0.745, 0.970)
Al (0.753, 0.247, 0.000)
Al (0.753, 0.247, 0.500)
Al (0.753, 0.506, 0.000)
Al (0.753, 0.506, 0.500)
Al (0.763, 0.158, 0.163)
Al (0.763, 0.158, 0.337)
Al (0.763, 0.605, 0.663)
Al (0.763, 0.605, 0.837)
Al (0.839, 0.000, 0.614)
Al (0.839, 0.000, 0.886)
Al (0.839, 0.839, 0.114)
Al (0.839, 0.839, 0.386)
Al (0.842, 0.237, 0.663)
Al (0.842, 0.237, 0.837)
Al (0.842, 0.605, 0.163)
Al (0.842, 0.605, 0.337)
Al (0.851, 0.000, 0.250)
Al (0.851, 0.851, 0.750)
Al (0.852, 0.405, 0.250)
Al (0.852, 0.448, 0.750)
W (0.000, 0.000, 0.000)
W (0.000, 0.000, 0.500)
W (0.000, 0.271, 0.250)
W (0.000, 0.729, 0.750)
W (0.271, 0.000, 0.250)
W (0.271, 0.271, 0.750)
W (0.729, 0.000, 0.750)
W (0.729, 0.729, 0.250)

3.
## Y3Fe8Ni (GGA-PBE)

Data for a relaxed Y3Fe8Ni crystal.

Output
Space-group type: No. 166
Energy relative to the elements, eV/atom: -0.10

Cell lengths 8.646, 8.646, 8.646 Å; angles 34.13, 34.13, 34.13 degrees
Atoms (fractional coordinates):
Y (0.000, 0.000, 0.000)
Y (0.142, 0.142, 0.142)
Y (0.858, 0.858, 0.858)
Fe (0.080, 0.582, 0.582)
Fe (0.333, 0.333, 0.333)
Fe (0.418, 0.418, 0.920)
Fe (0.418, 0.920, 0.418)
Fe (0.582, 0.080, 0.582)
Fe (0.582, 0.582, 0.080)
Fe (0.667, 0.667, 0.667)
Fe (0.920, 0.418, 0.418)
Ni (0.500, 0.500, 0.500)

4.
## Pd2Se3 (GGA-PBE)

Data for a relaxed Pd2Se3 crystal.

Output
Space-group type: No. 163

Cell lengths 6.503, 6.503, 11.372 Å; angles 90.00, 90.00, 120.00 degrees
Atoms (fractional coordinates):
Pd (0.000, 0.000, 0.000)
Pd (0.000, 0.000, 0.500)
Pd (0.333, 0.667, 0.007)
Pd (0.333, 0.667, 0.493)
Pd (0.333, 0.667, 0.750)
Pd (0.667, 0.333, 0.250)
Pd (0.667, 0.333, 0.507)
Pd (0.667, 0.333, 0.993)
Se (0.003, 0.333, 0.880)
Se (0.003, 0.671, 0.620)
Se (0.329, 0.333, 0.620)
Se (0.329, 0.997, 0.880)
Se (0.333, 0.003, 0.380)
Se (0.333, 0.329, 0.120)
Se (0.667, 0.671, 0.880)
Se (0.667, 0.997, 0.620)
Se (0.671, 0.003, 0.120)
Se (0.671, 0.667, 0.380)
Se (0.997, 0.329, 0.380)
Se (0.997, 0.667, 0.120)

5.
## HoTmSO2 (GGA-PBE)

Data for a relaxed HoTmSO2 crystal.

Output
Space-group type: No. 156

Cell lengths 3.745, 3.745, 6.519 Å; angles 90.00, 90.00, 120.00 degrees
Atoms (fractional coordinates):
Ho (0.000, 0.000, 0.000)
Tm (0.333, 0.667, 0.566)
S (0.667, 0.333, 0.284)
O (0.000, 0.000, 0.651)
O (0.333, 0.667, 0.910)

6.
## NbFeSnPt (GGA-PBE)

Data for a relaxed NbFeSnPt crystal.

Output
Space-group type: No. 216

Cell lengths 4.560, 4.560, 4.560 Å; angles 60.00, 60.00, 60.00 degrees
Atoms (fractional coordinates):
Nb (0.000, 0.000, 0.000)
Fe (0.500, 0.500, 0.500)
Sn (0.250, 0.250, 0.250)
Pt (0.750, 0.750, 0.750)

7.
## YAgTeO (GGA-PBE)

Data for a relaxed YAgTeO crystal.

Output
Space-group type: No. 14

Cell lengths 7.799, 6.372, 6.234 Å; angles 90.00, 91.81, 90.00 degrees
Atoms (fractional coordinates):
Y (0.093, 0.000, 0.253)
Y (0.093, 0.500, 0.753)
Y (0.907, 0.000, 0.747)
Y (0.907, 0.500, 0.247)
Ag (0.424, 0.219, 0.004)
Ag (0.424, 0.281, 0.504)
Ag (0.576, 0.719, 0.496)
Ag (0.576, 0.781, 0.996)
Te (0.307, 0.568, 0.215)
Te (0.307, 0.932, 0.715)
Te (0.693, 0.068, 0.285)
Te (0.693, 0.432, 0.785)
O (0.022, 0.241, 0.000)
O (0.022, 0.259, 0.500)
O (0.978, 0.741, 0.500)
O (0.978, 0.759, 0.000)

8.
## Pr3CdHg2Pd2Au (GGA-PBE)

Data for a relaxed Pr3CdHg2Pd2Au crystal.

Output
Space-group type: No. 38
Energy relative to the elements, eV/atom: -0.67

Cell lengths 4.030, 7.903, 7.903 Å; angles 120.41, 90.00, 90.00 degrees
Atoms (fractional coordinates):
Pr (0.000, 0.000, 0.000)
Pr (0.000, 0.394, 0.803)
Pr (0.000, 0.803, 0.394)
Cd (0.500, 0.662, 0.662)
Hg (0.500, 0.131, 0.400)
Hg (0.500, 0.400, 0.131)
Pd (0.500, 0.058, 0.730)
Pd (0.500, 0.730, 0.058)
Au (0.000, 0.406, 0.406)

How do the records compare in uncorrected energy? In the order shown, they have -8.30 -4.81 -7.72 -4.42 -7.85 -7.15 -5.95 -3.94 eV/atom.